A relaxed structure of BaMn3Mo. Source: Alexandria via LeMat-Bulk, functional PBEsol.

The space group is Pm-3m (No. 221) and the conventional cell measures 4.795, 4.795 and 4.795 Å, with angles of 90.00, 90.00 and 90.00 degrees. The inequivalent atoms are Ba at (0.000, 0.000, 0.000), Mn at (0.000, 0.500, 0.500) and Mo at (0.500, 0.500, 0.500).

Its total energy is -37.9 eV/f.u. The value obtained for the formation energy is 1.064 eV/atom.

=====

A relaxed structure of BaMnMo2. Source: Alexandria via LeMat-Bulk, functional PBEsol.

The space group is R3m (No. 160, hexagonal axes) and the conventional cell measures 3.1569, 3.1569 and 28.3506 Å, with angles of 90.00, 90.00 and 120.00 degrees. The inequivalent atoms are Ba at (0.0000, 0.0000, 0.0000), Mn at (0.0000, 0.0000, 0.7685), Mo at (0.0000, 0.0000, 0.2299) and Mo at (0.0000, 0.0000, 0.5025).

Its total energy is -31.6 eV/f.u. The value obtained for the formation energy is 0.961 eV/atom. As for the excess energy over the best structure of this formula in the dataset: 0.00 eV/f.u.

=====

A relaxed structure of BaMnMo2. Source: Alexandria via LeMat-Bulk, functional PBEsol.

The space group is R-3m (No. 166, hexagonal axes) and the conventional cell measures 3.0732, 3.0732 and 27.8939 Å, with angles of 90.00, 90.00 and 120.00 degrees. The inequivalent atoms are Ba at (0.0000, 0.0000, 0.0000), Mn at (0.0000, 0.0000, 0.5000) and Mo at (0.0000, 0.0000, 0.2255).

Its total energy is -31.1 eV/f.u. The value obtained for the formation energy is 1.086 eV/atom. As for the excess energy over the best structure of this formula in the dataset: 0.50 eV/f.u.

=====

A relaxed structure of Ba2MnMoO6. Source: Alexandria via LeMat-Bulk, functional PBEsol.

The space group is Fm-3m (No. 225) and the conventional cell measures 8.027, 8.027 and 8.027 Å, with angles of 90.00, 90.00 and 90.00 degrees. The inequivalent atoms are Ba at (0.250, 0.250, 0.250), Mn at (0.000, 0.000, 0.000), Mo at (0.000, 0.000, 0.500) and O at (0.000, 0.000, 0.257).

Its total energy is -81.1 eV/f.u. As for the formation energy without anion corrections: -2.3797 eV/atom.

=====

A relaxed structure of BaSrMn2Mo. Source: Alexandria via LeMat-Bulk, functional PBEsol.

The space group is P4/mmm (No. 123) and the conventional cell measures 4.900, 4.900 and 5.541 Å, with angles of 90.00, 90.00 and 90.00 degrees. The inequivalent atoms are Ba at (0.000, 0.000, 0.000), Sr at (0.500, 0.500, 0.000), Mn at (0.000, 0.500, 0.500) and Mo at (0.000, 0.000, 0.500).

Its total energy is -30.0 eV/f.u. The value obtained for the formation energy is 1.057 eV/atom.

=====

A relaxed structure of Ba8Mn3N8. Source: Alexandria via LeMat-Bulk, functional PBEsol.

The space group is C2/m (No. 12) and the conventional cell measures 19.527, 5.609 and 7.807 Å, with angles of 90.00, 106.09 and 90.00 degrees. The inequivalent atoms are Ba at (0.027, 0.000, 0.270), Ba at (0.102, 0.500, 0.951), Ba at (0.167, 0.500, 0.467), Ba at (0.201, 0.000, 0.799), Mn at (0.000, 0.500, 0.500), Mn at (0.186, 0.000, 0.200), N at (0.021, 0.500, 0.302), N at (0.110, 0.000, 0.021), N at (0.178, 0.000, 0.411) and N at (0.231, 0.500, 0.835).

Its total energy is -127.6 eV/f.u. As for the formation energy without anion corrections: -0.6771 eV/atom.